CeErBi (PBE, relaxed); energy relative to the elements = -0.2326 eV/atom; magnetization = 0.61 μB/atom; DFT total energy = -15.08 eV for the cell shown
1.0
-2.2663 -2.9939 0.2416
1.6859 -1.6624 -4.7855
2.5471 -1.5713 4.4216
Bi Ce Er
1 1 1
Direct
0.0711 0.0000 0.0000
0.6998 0.3333 0.6667
0.2291 0.6667 0.3333